Zr2Pt2W after structural relaxation, computed with PBE.

Unit cell a=7.5428 b=7.5428 c=3.3021 alpha=90.00 beta=90.00 gamma=90.00
With the nearest neighbours (Å) after each atom.
Atoms (fractional coordinates):
Pt 0.3705 0.8705 0.0000  6 Zr 2.68-2.83, 1 Pt 2.76, 2 W 2.96
Pt 0.8705 0.6295 0.0000  6 Zr 2.68-2.83, 1 Pt 2.76, 2 W 2.96
Pt 0.1295 0.3705 0.0000  6 Zr 2.68-2.83, 1 Pt 2.76, 2 W 2.96
Pt 0.6295 0.1295 0.0000  6 Zr 2.68-2.83, 1 Pt 2.76, 2 W 2.96
W 0.0000 0.0000 0.0000  4 Pt 2.96, 8 Zr 3.24, 2 W 3.30
W 0.5000 0.5000 0.0000  4 Pt 2.96, 8 Zr 3.24, 2 W 3.30
Zr 0.8274 0.3274 0.5000  6 Pt 2.68-2.83
Zr 0.1726 0.6726 0.5000  6 Pt 2.68-2.83
Zr 0.6726 0.8274 0.5000  6 Pt 2.68-2.83
Zr 0.3274 0.1726 0.5000  6 Pt 2.68-2.83


Y2Pt after structural relaxation, computed with PBE.

Unit cell a=9.4610 b=9.4610 c=9.4610 alpha=60.00 beta=60.00 gamma=60.00
With the nearest neighbours (Å) after each atom.
Atoms (fractional coordinates):
Y 0.3121 0.4379 0.9379  2 Pt 2.90
Y 0.3121 0.8121 0.9379  2 Pt 2.90
Y 0.0621 0.1879 0.0621  2 Pt 2.90
Y 0.3121 0.4379 0.3121  2 Pt 2.90
Y 0.9379 0.8121 0.3121  2 Pt 2.90
Y 0.9379 0.8121 0.9379  2 Pt 2.90
Y 0.6879 0.1879 0.0621  2 Pt 2.90
Y 0.9379 0.4379 0.3121  2 Pt 2.90
Y 0.5000 0.0000 0.5000  6 Pt 3.03
Y 0.0621 0.5621 0.6879  2 Pt 2.90
Y 0.5000 0.5000 0.5000  6 Pt 3.03
Y 0.0621 0.1879 0.6879  2 Pt 2.90
Y 0.6879 0.5621 0.6879  2 Pt 2.90
Y 0.5000 0.0000 0.0000  6 Pt 3.03
Y 0.6879 0.5621 0.0621  2 Pt 2.90
Y 0.0000 0.0000 0.5000  6 Pt 3.03
Pt 0.2762 0.7762 0.6713  6 Y 2.90-3.03
Pt 0.7238 0.8287 0.7238  6 Y 2.90-3.03
Pt 0.3287 0.2238 0.7238  6 Y 2.90-3.03
Pt 0.2762 0.7762 0.2762  6 Y 2.90-3.03
Pt 0.7238 0.2238 0.7238  6 Y 2.90-3.03
Pt 0.2762 0.1713 0.2762  6 Y 2.90-3.03
Pt 0.6713 0.7762 0.2762  6 Y 2.90-3.03
Pt 0.7238 0.2238 0.3287  6 Y 2.90-3.03


YPt after structural relaxation, computed with PBE.

Unit cell a=5.8606 b=5.8606 c=5.8606 alpha=46.67 beta=46.67 gamma=46.67
With the nearest neighbours (Å) after each atom.
Atoms (fractional coordinates):
Y 0.8992 0.8992 0.8992  4 Pt 2.83-2.98, 1 Y 3.15
Y 0.1008 0.1008 0.1008  4 Pt 2.83-2.98, 1 Y 3.15
Pt 0.2916 0.2916 0.2916  4 Y 2.83-2.98, 3 Pt 2.98
Pt 0.7084 0.7084 0.7084  4 Y 2.83-2.98, 3 Pt 2.98


YPt4 after structural relaxation, computed with PBE.

Unit cell a=7.9344 b=7.9344 c=7.9344 alpha=109.47 beta=109.47 gamma=109.47
With the nearest neighbours (Å) after each atom.
Atoms (fractional coordinates):
Y 0.4425 0.4425 0.4425  1 Pt 2.72
Y 0.0000 0.0000 0.5575  1 Pt 2.72
Y 0.5575 0.0000 0.0000  1 Pt 2.72
Y 0.0000 0.5575 0.0000  1 Pt 2.72
Pt 0.6529 0.6529 0.0000  7 Pt 2.60-2.80
Pt 0.0000 0.3471 0.3471  7 Pt 2.60-2.80
Pt 0.2153 0.0000 0.0000  6 Pt 2.60-2.79, 1 Y 2.72
Pt 0.7500 0.5000 0.2500  4 Pt 2.68
Pt 0.7847 0.7847 0.7847  6 Pt 2.60-2.79, 1 Y 2.72
Pt 0.0000 0.6529 0.6529  7 Pt 2.60-2.80
Pt 0.6529 0.0000 0.6529  7 Pt 2.60-2.80
Pt 0.3471 0.0000 0.3471  7 Pt 2.60-2.80
Pt 0.7500 0.2500 0.5000  4 Pt 2.68
Pt 0.0000 0.2153 0.0000  6 Pt 2.60-2.79, 1 Y 2.72
Pt 0.3471 0.3471 0.0000  7 Pt 2.60-2.80
Pt 0.2500 0.7500 0.5000  4 Pt 2.68
Pt 0.5000 0.2500 0.7500  4 Pt 2.68
Pt 0.2500 0.5000 0.7500  4 Pt 2.68
Pt 0.5000 0.7500 0.2500  4 Pt 2.68
Pt 0.0000 0.0000 0.2153  6 Pt 2.60-2.79, 1 Y 2.72


Y7Pt6 after structural relaxation, computed with PBE.

Unit cell a=9.3873 b=9.3873 c=9.3873 alpha=41.01 beta=41.01 gamma=41.01
With the nearest neighbours (Å) after each atom.
Atoms (fractional coordinates):
Pt 0.8357 0.8357 0.8357  1 Pt 2.88, 3 Y 2.95
Pt 0.3354 0.3354 0.3354  6 Y 2.76-2.79
Pt 0.0525 0.0525 0.0525  2 Pt 2.71-2.88
Pt 0.6646 0.6646 0.6646  6 Y 2.76-2.79
Pt 0.1643 0.1643 0.1643  1 Pt 2.88, 3 Y 2.95
Pt 0.9475 0.9475 0.9475  2 Pt 2.71-2.88
Y 0.5856 0.0645 0.5856  3 Pt 2.76-2.95, 1 Y 3.01
Y 0.5856 0.5856 0.0645  3 Pt 2.76-2.95, 1 Y 3.01
Y 0.5000 0.5000 0.5000  6 Y 3.01
Y 0.9355 0.4144 0.4144  3 Pt 2.76-2.95, 1 Y 3.01
Y 0.0645 0.5856 0.5856  3 Pt 2.76-2.95, 1 Y 3.01
Y 0.4144 0.4144 0.9355  3 Pt 2.76-2.95, 1 Y 3.01
Y 0.4144 0.9355 0.4144  3 Pt 2.76-2.95, 1 Y 3.01


YPt4 after structural relaxation, computed with PBE.

Unit cell a=4.9862 b=4.9862 c=4.9862 alpha=90.00 beta=90.00 gamma=90.00
With the nearest neighbours (Å) after each atom.
Atoms (fractional coordinates):
Pt 0.5000 0.0000 0.5000  2 Y 2.49
Pt 0.0000 0.0000 0.0000  12 Pt 3.53
Pt 0.0000 0.5000 0.5000  2 Y 2.49
Pt 0.5000 0.5000 0.0000  2 Y 2.49
Y 0.5000 0.5000 0.5000  6 Pt 2.49


Y7Pt after structural relaxation, computed with PBE.

Unit cell a=6.8562 b=6.8562 c=6.8562 alpha=60.00 beta=60.00 gamma=60.00
With the nearest neighbours (Å) after each atom.
Atoms (fractional coordinates):
Pt 0.0000 0.0000 0.0000  12 Y 3.43
Y 0.5000 0.5000 0.0000  2 Pt 3.43, 10 Y 3.43
Y 0.0000 0.5000 0.5000  2 Pt 3.43, 10 Y 3.43
Y 0.5000 0.0000 0.5000  2 Pt 3.43, 10 Y 3.43
Y 0.5000 0.5000 0.5000  12 Y 3.43
Y 0.5000 0.0000 0.0000  2 Pt 3.43, 10 Y 3.43
Y 0.0000 0.5000 0.0000  2 Pt 3.43, 10 Y 3.43
Y 0.0000 0.0000 0.5000  2 Pt 3.43, 10 Y 3.43


Y4Pt3 after structural relaxation, computed with PBE.

Unit cell a=7.4714 b=7.4714 c=7.4714 alpha=108.57 beta=108.57 gamma=108.57
With the nearest neighbours (Å) after each atom.
Atoms (fractional coordinates):
Pt 0.4520 0.1980 0.0699  7 Y 2.84-3.15
Pt 0.1980 0.0699 0.4520  7 Y 2.84-3.15
Pt 0.9301 0.5480 0.8020  7 Y 2.84-3.15
Pt 0.5480 0.8020 0.9301  7 Y 2.84-3.15
Pt 0.8020 0.9301 0.5480  7 Y 2.84-3.15
Pt 0.0699 0.4520 0.1980  7 Y 2.84-3.15
Y 0.6495 0.1701 0.7790  5 Pt 2.84-3.15
Y 0.3505 0.8299 0.2210  5 Pt 2.84-3.15
Y 0.7790 0.6495 0.1701  5 Pt 2.84-3.15
Y 0.8299 0.2210 0.3505  5 Pt 2.84-3.15
Y 0.2210 0.3505 0.8299  5 Pt 2.84-3.15
Y 0.0000 0.0000 0.0000  6 Pt 3.01
Y 0.5000 0.5000 0.5000  6 Pt 3.11
Y 0.1701 0.7790 0.6495  5 Pt 2.84-3.15


YPt after structural relaxation, computed with PBE.

Unit cell a=6.1543 b=14.5965 c=8.5645 alpha=90.00 beta=90.00 gamma=90.00
With the nearest neighbours (Å) after each atom.
Atoms (fractional coordinates):
Pt 0.5000 0.9077 0.5000  3 Pt 2.69-2.80, 4 Y 2.81-2.96
Pt 0.7500 0.1577 0.2500  3 Pt 2.69-2.80, 4 Y 2.81-2.96
Pt 0.0000 0.4077 0.5000  3 Pt 2.69-2.80, 4 Y 2.81-2.96
Pt 0.2500 0.8423 0.2500  3 Pt 2.69-2.80, 4 Y 2.81-2.96
Pt 0.0000 0.5923 0.5000  3 Pt 2.69-2.80, 4 Y 2.81-2.96
Pt 0.7500 0.3423 0.2500  3 Pt 2.69-2.80, 4 Y 2.81-2.96
Pt 0.2500 0.6577 0.2500  3 Pt 2.69-2.80, 4 Y 2.81-2.96
Pt 0.5000 0.4077 0.0000  3 Pt 2.69-2.80, 4 Y 2.81-2.96
Pt 0.7500 0.8423 0.7500  3 Pt 2.69-2.80, 4 Y 2.81-2.96
Pt 0.5000 0.5923 0.0000  3 Pt 2.69-2.80, 4 Y 2.81-2.96
Pt 0.2500 0.3423 0.7500  3 Pt 2.69-2.80, 4 Y 2.81-2.96
Pt 0.0000 0.0923 0.0000  3 Pt 2.69-2.80, 4 Y 2.81-2.96
Pt 0.7500 0.6577 0.7500  3 Pt 2.69-2.80, 4 Y 2.81-2.96
Pt 0.2500 0.1577 0.7500  3 Pt 2.69-2.80, 4 Y 2.81-2.96
Pt 0.5000 0.0923 0.5000  3 Pt 2.69-2.80, 4 Y 2.81-2.96
Pt 0.0000 0.9077 0.0000  3 Pt 2.69-2.80, 4 Y 2.81-2.96
Y 0.0000 0.0000 0.6921  4 Pt 2.81-2.96
Y 0.7500 0.2500 0.9421  4 Pt 2.81-2.96
Y 0.5000 0.0000 0.8079  4 Pt 2.81-2.96
Y 0.5000 0.5000 0.3079  4 Pt 2.81-2.96
Y 0.0000 0.5000 0.8079  4 Pt 2.81-2.96
Y 0.2500 0.7500 0.5579  4 Pt 2.81-2.96
Y 0.7500 0.7500 0.4421  4 Pt 2.81-2.96
Y 0.0000 0.5000 0.1921  4 Pt 2.81-2.96
Y 0.5000 0.0000 0.1921  4 Pt 2.81-2.96
Y 0.7500 0.7500 0.0579  4 Pt 2.81-2.96
Y 0.0000 0.0000 0.3079  4 Pt 2.81-2.96
Y 0.2500 0.2500 0.4421  4 Pt 2.81-2.96
Y 0.5000 0.5000 0.6921  4 Pt 2.81-2.96
Y 0.2500 0.7500 0.9421  4 Pt 2.81-2.96
Y 0.7500 0.2500 0.5579  4 Pt 2.81-2.96
Y 0.2500 0.2500 0.0579  4 Pt 2.81-2.96


YPt after structural relaxation, computed with PBE.

Unit cell a=8.3647 b=8.3647 c=5.5211 alpha=90.00 beta=90.00 gamma=90.00
With the nearest neighbours (Å) after each atom.
Atoms (fractional coordinates):
Pt 0.2726 0.5750 0.5000  5 Y 2.83-3.06, 2 Pt 2.83
Pt 0.7726 0.0750 0.0000  5 Y 2.83-3.06, 2 Pt 2.83
Pt 0.7274 0.4250 0.5000  5 Y 2.83-3.06, 2 Pt 2.83
Pt 0.0750 0.2274 0.0000  5 Y 2.83-3.06, 2 Pt 2.83
Pt 0.4250 0.2726 0.5000  5 Y 2.83-3.06, 2 Pt 2.83
Pt 0.9250 0.7726 0.0000  5 Y 2.83-3.06, 2 Pt 2.83
Pt 0.5750 0.7274 0.5000  5 Y 2.83-3.06, 2 Pt 2.83
Pt 0.2274 0.9250 0.0000  5 Y 2.83-3.06, 2 Pt 2.83
Y 0.4283 0.1992 0.0000  5 Pt 2.83-3.06
Y 0.1992 0.5717 0.0000  5 Pt 2.83-3.06
Y 0.5717 0.8008 0.0000  5 Pt 2.83-3.06
Y 0.0717 0.3008 0.5000  5 Pt 2.83-3.06
Y 0.8008 0.4283 0.0000  5 Pt 2.83-3.06
Y 0.9283 0.6992 0.5000  5 Pt 2.83-3.06
Y 0.3008 0.9283 0.5000  5 Pt 2.83-3.06
Y 0.6992 0.0717 0.5000  5 Pt 2.83-3.06


YPt after structural relaxation, computed with PBE.

Unit cell a=4.0536 b=4.0536 c=5.8208 alpha=90.00 beta=90.00 gamma=90.00
With the nearest neighbours (Å) after each atom.
Atoms (fractional coordinates):
Y 0.7500 0.7500 0.2750  6 Pt 2.88-2.92
Y 0.2500 0.2500 0.7250  6 Pt 2.88-2.92
Pt 0.2500 0.2500 0.2262  6 Y 2.88-2.92
Pt 0.7500 0.7500 0.7738  6 Y 2.88-2.92


YPt after structural relaxation, computed with PBE.

Unit cell a=4.0823 b=4.0823 c=4.0823 alpha=60.01 beta=60.01 gamma=60.01
With the nearest neighbours (Å) after each atom.
Atoms (fractional coordinates):
Pt 0.0000 0.0000 0.0000  6 Y 2.89
Y 0.5000 0.5000 0.5000  6 Pt 2.89


Y6Pt7 after structural relaxation, computed with PBE.

Unit cell a=10.4982 b=10.4982 c=10.4982 alpha=31.35 beta=31.35 gamma=31.35
With the nearest neighbours (Å) after each atom.
Atoms (fractional coordinates):
Y 0.3313 0.3313 0.3313  6 Pt 3.00-3.05, 3 Y 3.28
Y 0.8299 0.8299 0.8299  3 Pt 2.88
Y 0.1701 0.1701 0.1701  3 Pt 2.88
Y 0.6687 0.6687 0.6687  6 Pt 3.00-3.05, 3 Y 3.28
Y 0.9396 0.9396 0.9396  6 Pt 2.93
Y 0.0604 0.0604 0.0604  6 Pt 2.93
Pt 0.9051 0.4199 0.4199  5 Pt 2.75-2.92, 5 Y 2.88-3.05
Pt 0.4199 0.4199 0.9051  5 Pt 2.75-2.92, 5 Y 2.88-3.05
Pt 0.5801 0.5801 0.0949  5 Pt 2.75-2.92, 5 Y 2.88-3.05
Pt 0.5000 0.5000 0.5000  6 Pt 2.91
Pt 0.0949 0.5801 0.5801  5 Pt 2.75-2.92, 5 Y 2.88-3.05
Pt 0.5801 0.0949 0.5801  5 Pt 2.75-2.92, 5 Y 2.88-3.05
Pt 0.4199 0.9051 0.4199  5 Pt 2.75-2.92, 5 Y 2.88-3.05


YPt after structural relaxation, computed with PBE.

Unit cell a=8.9797 b=8.9797 c=4.5943 alpha=90.00 beta=90.00 gamma=90.00
With the nearest neighbours (Å) after each atom.
Atoms (fractional coordinates):
Pt 0.8309 0.8309 0.0000  6 Y 2.93-3.01, 4 Pt 3.04-3.08
Pt 0.6691 0.3309 0.5000  6 Y 2.93-3.01, 4 Pt 3.04-3.08
Pt 0.8309 0.1691 0.0000  6 Y 2.93-3.01, 4 Pt 3.04-3.08
Pt 0.6691 0.6691 0.5000  6 Y 2.93-3.01, 4 Pt 3.04-3.08
Pt 0.3309 0.6691 0.5000  6 Y 2.93-3.01, 4 Pt 3.04-3.08
Pt 0.1691 0.1691 0.0000  6 Y 2.93-3.01, 4 Pt 3.04-3.08
Pt 0.3309 0.3309 0.5000  6 Y 2.93-3.01, 4 Pt 3.04-3.08
Pt 0.1691 0.8309 0.0000  6 Y 2.93-3.01, 4 Pt 3.04-3.08
Y 0.2206 0.5000 0.0000  6 Pt 2.93-3.01
Y 0.7794 0.5000 0.0000  6 Pt 2.93-3.01
Y 0.5000 0.7794 0.0000  6 Pt 2.93-3.01
Y 0.0000 0.7206 0.5000  6 Pt 2.93-3.01
Y 0.2794 0.0000 0.5000  6 Pt 2.93-3.01
Y 0.7206 0.0000 0.5000  6 Pt 2.93-3.01
Y 0.5000 0.2206 0.0000  6 Pt 2.93-3.01
Y 0.0000 0.2794 0.5000  6 Pt 2.93-3.01


YPt after structural relaxation, computed with PBE.

Unit cell a=5.6846 b=5.6846 c=5.6846 alpha=90.00 beta=90.00 gamma=90.00
With the nearest neighbours (Å) after each atom.
Atoms (fractional coordinates):
Pt 0.9427 0.0573 0.5573  6 Y 2.90-2.93
Pt 0.4427 0.4427 0.4427  6 Y 2.90-2.93
Pt 0.0573 0.5573 0.9427  6 Y 2.90-2.93
Pt 0.5573 0.9427 0.0573  6 Y 2.90-2.93
Y 0.4399 0.9399 0.5601  6 Pt 2.90-2.93
Y 0.5601 0.4399 0.9399  6 Pt 2.90-2.93
Y 0.0601 0.0601 0.0601  6 Pt 2.90-2.93
Y 0.9399 0.5601 0.4399  6 Pt 2.90-2.93


YPt5 after structural relaxation, computed with PBE.

Unit cell a=5.3224 b=5.3224 c=5.3224 alpha=60.00 beta=60.00 gamma=60.00
With the nearest neighbours (Å) after each atom.
Atoms (fractional coordinates):
Pt 0.7500 0.7500 0.7500  12 Pt 3.12, 4 Y 3.26
Pt 0.3756 0.3756 0.3756  6 Pt 2.65-2.67
Pt 0.3756 0.8732 0.3756  6 Pt 2.65-2.67
Pt 0.8732 0.3756 0.3756  6 Pt 2.65-2.67
Pt 0.3756 0.3756 0.8732  6 Pt 2.65-2.67
Y 0.0000 0.0000 0.0000  16 Pt 3.12-3.26


Y2Pt after structural relaxation, computed with PBE.

Unit cell a=14.6388 b=14.6388 c=14.6388 alpha=162.41 beta=162.41 gamma=24.98
With the nearest neighbours (Å) after each atom.
Atoms (fractional coordinates):
Y 0.5893 0.5893 0.0000  2 Y 3.03, 6 Pt 3.19-3.29
Y 0.0002 0.5002 0.5000  4 Pt 3.12-3.13, 8 Y 3.17-3.40
Y 0.2498 0.2498 0.0000  4 Pt 3.12-3.13, 8 Y 3.17-3.40
Y 0.8393 0.3393 0.5000  2 Y 3.03, 6 Pt 3.19-3.29
Y 0.4107 0.4107 0.0000  2 Y 3.03, 6 Pt 3.19-3.29
Y 0.6607 0.1607 0.5000  2 Y 3.03, 6 Pt 3.19-3.29
Y 0.7502 0.7502 0.0000  4 Pt 3.12-3.13, 8 Y 3.17-3.40
Y 0.4998 0.9998 0.5000  4 Pt 3.12-3.13, 8 Y 3.17-3.40
Pt 0.3262 0.8262 0.5000  10 Y 3.12-3.29
Pt 0.0762 0.0762 0.0000  10 Y 3.12-3.29
Pt 0.1738 0.6738 0.5000  10 Y 3.12-3.29
Pt 0.9238 0.9238 0.0000  10 Y 3.12-3.29


YPt after structural relaxation, computed with PBE.

Unit cell a=7.8116 b=7.8116 c=7.8116 alpha=90.00 beta=90.00 gamma=90.00
With the nearest neighbours (Å) after each atom.
Atoms (fractional coordinates):
Pt 0.5000 0.7500 0.0000  4 Y 2.76
Pt 0.5000 0.2500 0.0000  4 Y 2.76
Pt 0.7500 0.0000 0.5000  4 Y 2.76
Pt 0.0000 0.5000 0.2500  4 Y 2.76
Pt 0.2500 0.0000 0.5000  4 Y 2.76
Pt 0.0000 0.5000 0.7500  4 Y 2.76
Y 0.0000 0.2500 0.5000  4 Pt 2.76
Y 0.5000 0.0000 0.2500  4 Pt 2.76
Y 0.0000 0.7500 0.5000  4 Pt 2.76
Y 0.5000 0.0000 0.7500  4 Pt 2.76
Y 0.7500 0.5000 0.0000  4 Pt 2.76
Y 0.2500 0.5000 0.0000  4 Pt 2.76


YPt after structural relaxation, computed with PBE.

Unit cell a=4.5568 b=5.5768 c=7.0436 alpha=90.00 beta=90.00 gamma=90.00
With the nearest neighbours (Å) after each atom.
Atoms (fractional coordinates):
Y 0.7500 0.6403 0.6823  7 Pt 2.89-3.02
Y 0.2500 0.3597 0.3177  7 Pt 2.89-3.02
Y 0.7500 0.8597 0.1823  7 Pt 2.89-3.02
Y 0.2500 0.1403 0.8177  7 Pt 2.89-3.02
Pt 0.2500 0.6532 0.9573  7 Y 2.89-3.02, 2 Pt 2.91
Pt 0.2500 0.8468 0.4573  7 Y 2.89-3.02, 2 Pt 2.91
Pt 0.7500 0.3468 0.0427  7 Y 2.89-3.02, 2 Pt 2.91
Pt 0.7500 0.1532 0.5427  7 Y 2.89-3.02, 2 Pt 2.91


Y3Pt2 after structural relaxation, computed with PBE.

Unit cell a=3.5311 b=3.5311 c=10.0861 alpha=100.08 beta=100.08 gamma=90.00
With the nearest neighbours (Å) after each atom.
Atoms (fractional coordinates):
Y 0.0000 0.0000 0.0000  8 Pt 3.08, 2 Y 3.40
Y 0.8259 0.8259 0.6518  4 Pt 2.97
Y 0.1741 0.1741 0.3482  4 Pt 2.97
Pt 0.5919 0.5919 0.1839  8 Y 2.97-3.08
Pt 0.4081 0.4081 0.8161  8 Y 2.97-3.08


How do the records compare in M_tot? In the order shown, they have 0.00, 0.00, 0.00, 0.00, 0.00, 0.00, 0.00, 0.00, 0.00, 0.00, 0.00, 0.00, 0.00, 0.00, 0.00, 0.00, 0.00, 0.00, 0.00, 0.00 μB/atom.
How do the records compare in total DFT energy (no corrections)? In the order shown, they have -8.8670, -7.2023, -7.1176, -6.7080, -6.5016, -4.8645, -6.4841, -7.3814, -6.9244, -7.2262, -7.3422, -7.3446, -7.1912, -7.2335, -7.3512, -6.7489, -6.9068, -6.5840, -7.5245, -7.2485 eV/atom.